## Hg3I2O2 (PBE)

Data for a relaxed Hg3I2O2 crystal.

POSCAR file:
```
Hg3I2O2
1.0
6.9767 0.0000 0.0000
0.0000 7.6768 0.0000
-1.2812 0.0000 7.2888
Hg I O
6 4 4
Direct
0.0000 0.0000 0.0000
0.0000 0.5000 0.5000
0.3461 0.2350 0.3470
0.3461 0.2650 0.8470
0.6539 0.7350 0.1530
0.6539 0.7650 0.6530
0.2559 0.5971 0.1098
0.2559 0.9029 0.6098
0.7441 0.0971 0.3902
0.7441 0.4029 0.8902
0.2726 0.1090 0.0730
0.2726 0.3910 0.5730
0.7274 0.6090 0.4270
0.7274 0.8910 0.9270
```

Results
The value obtained for the volume is 27.9 Å³/atom. For the formation energy without anion corrections, the calculation gives -0.241 eV per atom. Its symmetry is P2_1/c, No. 14. As for the distance to the lowest polymorph of the same formula: 0.018 eV/atom.

***

## HgIO2 (PBE)

Data for a relaxed HgIO2 crystal.

POSCAR file:
```
HgIO2
1.0
0.0000 3.1467 3.1467
3.1467 0.0000 3.1467
3.1467 3.1467 0.0000
Hg I O
1 1 2
Direct
0.0000 0.0000 0.0000
0.5000 0.5000 0.5000
0.2500 0.2500 0.2500
0.7500 0.7500 0.7500
```

Results
The value obtained for the volume is 15.6 Å³/atom. For the formation energy without anion corrections, the calculation gives 0.741 eV per atom. Its symmetry is Fm-3m, No. 225. The density of states at the Fermi level is 4.94 states/eV per cell. As for the distance to the lowest polymorph of the same formula: 0.869 eV/atom.

***

## HgOsIO6 (PBE)

Data for a relaxed HgOsIO6 crystal.

POSCAR file:
```
HgOsIO6
1.0
2.7219 -4.7180 0.0000
2.7219 4.7180 0.0000
-0.0063 0.0000 5.0461
Hg Os I O
1 1 1 6
Direct
0.0000 0.0000 0.0000
0.3334 0.6666 0.5000
0.6667 0.3333 0.5000
0.0154 0.3809 0.7149
0.0152 0.6344 0.2850
0.3651 0.3810 0.2847
0.3656 0.9848 0.7150
0.6190 0.6349 0.7153
0.6191 0.9846 0.2851
```

Results
The value obtained for the volume is 14.4 Å³/atom. For the formation energy without anion corrections, the calculation gives -0.445 eV per atom. Its symmetry is C2, No. 5. The density of states at the Fermi level is 3.18 states/eV per cell.

***

## HgOsI2O (PBE)

Data for a relaxed HgOsI2O crystal.

POSCAR file:
```
HgOsI2O
1.0
5.9392 0.0000 0.0000
0.0000 5.9392 0.0000
0.0000 0.0000 4.0013
Hg Os I O
1 1 2 1
Direct
0.0000 0.0000 0.0000
0.5000 0.5000 0.5000
0.0000 0.5000 0.0000
0.5000 0.0000 0.0000
0.0000 0.0000 0.5000
```

Results
The value obtained for the volume is 28.2 Å³/atom. For the formation energy without anion corrections, the calculation gives 1.411 eV per atom. Its symmetry is P4/mmm, No. 123. The density of states at the Fermi level is 5.19 states/eV per cell. As for the distance to the lowest polymorph of the same formula: 1.412 eV/atom.

***

Look up the formation energy without anion corrections of the third one.
-0.445 eV per atom

***

Which value of formation energy without anion corrections does entry 1 give?
-0.241 eV per atom

***

What did the third record say?
## HgOsIO6 (PBE)

Data for a relaxed HgOsIO6 crystal.

POSCAR file:
```
HgOsIO6
1.0
2.7219 -4.7180 0.0000
2.7219 4.7180 0.0000
-0.0063 0.0000 5.0461
Hg Os I O
1 1 1 6
Direct
0.0000 0.0000 0.0000
0.3334 0.6666 0.5000
0.6667 0.3333 0.5000
0.0154 0.3809 0.7149
0.0152 0.6344 0.2850
0.3651 0.3810 0.2847
0.3656 0.9848 0.7150
0.6190 0.6349 0.7153
0.6191 0.9846 0.2851
```

Results
The value obtained for the volume is 14.4 Å³/atom. For the formation energy without anion corrections, the calculation gives -0.445 eV per atom. Its symmetry is C2, No. 5. The density of states at the Fermi level is 3.18 states/eV per cell.